Entry 1:
CsHo3Te5 | GGA-PBE | optimized geometry

- Final energy: -0.3513 Ry/atom
- Formation energy (no corrections): -136 kJ/mol of atoms
- SG: No. 62
- Crystal system: orthorhombic

abc: 4.406 13.201 23.814
angles: 90.00 90.00 90.00
Atoms (fractional coordinates):
Te 0.750 0.546 0.174
Te 0.750 0.556 0.431
Ho 0.250 0.703 0.175
Ho 0.250 0.797 0.675
Te 0.250 0.375 0.314
Te 0.750 0.944 0.931
Te 0.250 0.798 0.803
Ho 0.250 0.108 0.944
Te 0.250 0.454 0.826
Cs 0.750 0.854 0.411
Te 0.250 0.046 0.326
Te 0.750 0.954 0.674
Cs 0.250 0.354 0.089
Te 0.750 0.625 0.686
Cs 0.250 0.146 0.589
Ho 0.250 0.454 0.698
Te 0.750 0.875 0.186
Ho 0.750 0.608 0.556
Cs 0.750 0.646 0.911
Ho 0.750 0.546 0.302
Te 0.750 0.231 0.453
Ho 0.250 0.046 0.198
Ho 0.750 0.203 0.325
Te 0.250 0.702 0.303
Te 0.250 0.444 0.569
Te 0.250 0.056 0.069
Ho 0.750 0.892 0.056
Te 0.250 0.731 0.047
Te 0.250 0.125 0.814
Ho 0.750 0.297 0.825
Te 0.750 0.202 0.197
Te 0.750 0.298 0.697
Te 0.750 0.269 0.953
Ho 0.750 0.954 0.802
Te 0.250 0.769 0.547
Ho 0.250 0.392 0.444



Entry 2:
Cs5HoTe4 | GGA-PBE | optimized geometry

- Final energy: -0.2315 Ry/atom
- Formation energy (no corrections): -97 kJ/mol of atoms
- SG: No. 12
- Crystal system: monoclinic

abc: 5.112 9.665 11.729
angles: 114.30 102.59 90.00
Atoms (fractional coordinates):
Te 0.000 0.209 0.001
Te 0.000 0.791 0.999
Te 0.345 0.847 0.689
Cs 0.829 0.094 0.659
Cs 0.829 0.570 0.658
Te 0.655 0.153 0.311
Cs 0.171 0.906 0.341
Cs 0.171 0.430 0.342
Ho 0.500 0.000 0.000
Cs 0.500 0.500 0.000